1.
# YAl2Ag (PBE, optimized geometry)
# Total magnetic moment: 0.000 μB/atom
# DFT total energy: -4.4122 eV per atom
data_YAl2Ag
_chemical_formula_sum 'Y1 Al2 Ag1'
_space_group_name_H-M_alt 'P 4 m m'
_space_group_IT_number 99
_cell_length_a 3.395
_cell_length_b 3.395
_cell_length_c 6.992
_cell_angle_alpha 90.00
_cell_angle_beta 90.00
_cell_angle_gamma 90.00
loop_
_space_group_symop_operation_xyz
'x,y,z'
'-y,x,z'
'-x,-y,z'
'y,-x,z'
'-x,y,z'
'y,x,z'
'x,-y,z'
'-y,-x,z'
loop_
_atom_site_label
_atom_site_type_symbol
_atom_site_fract_x
_atom_site_fract_y
_atom_site_fract_z
_atom_site_occupancy
Y1 Y 0.000 0.000 0.000 1
Al1 Al 0.000 0.000 0.501 1
Al2 Al 0.500 0.500 0.714 1
Ag1 Ag 0.500 0.500 0.304 1

***

2.
# Sm6Ho12Cd (PBE, optimized geometry)
# Total magnetic moment: 0.000 μB/atom
# DFT total energy: -4.3270 eV per atom
data_Sm6Ho12Cd
_chemical_formula_sum 'Sm18 Ho36 Cd3'
_space_group_name_H-M_alt 'R -3'
_space_group_IT_number 148
_space_group_name_Hall '-R 3'
_cell_length_a 11.8549
_cell_length_b 11.8549
_cell_length_c 14.9097
_cell_angle_alpha 90.00
_cell_angle_beta 90.00
_cell_angle_gamma 120.00
loop_
_atom_site_label
_atom_site_type_symbol
_atom_site_fract_x
_atom_site_fract_y
_atom_site_fract_z
_atom_site_occupancy
Sm1 Sm 0.0161 0.5918 0.1862 1
Ho1 Ho 0.0035 0.8288 0.3135 1
Ho2 Ho 0.0469 0.1949 0.9156 1
Cd1 Cd 0.0000 0.0000 0.5000 1

***

3.
# BIrAu3 (PBE, optimized geometry)
# Excess energy over the best structure of this formula in the dataset: 0.000 eV per atom
# Total magnetic moment: 0.116 μB/atom
data_BIrAu3
_chemical_formula_sum 'B1 Ir1 Au3'
_space_group_name_H-M_alt 'P m -3 m'
_space_group_IT_number 221
_space_group_name_Hall '-P 4 2 3'
_cell_length_a 4.314
_cell_length_b 4.314
_cell_length_c 4.314
_cell_angle_alpha 90.00
_cell_angle_beta 90.00
_cell_angle_gamma 90.00
loop_
_atom_site_label
_atom_site_type_symbol
_atom_site_fract_x
_atom_site_fract_y
_atom_site_fract_z
_atom_site_occupancy
B1 B 0.000 0.000 0.000 1
Ir1 Ir 0.500 0.500 0.500 1
Au1 Au 0.000 0.000 0.500 1

***

4.
# Dy2PaGe3Pt4 (PBE, optimized geometry)
# Total magnetic moment: 0.000 μB/atom
# DFT total energy: -6.5215 eV per atom
data_Dy2PaGe3Pt4
_chemical_formula_sum 'Dy2 Pa1 Ge3 Pt4'
_space_group_name_H-M_alt 'P -4 m 2'
_space_group_IT_number 115
_cell_length_a 4.285
_cell_length_b 4.285
_cell_length_c 11.175
_cell_angle_alpha 90.00
_cell_angle_beta 90.00
_cell_angle_gamma 90.00
loop_
_space_group_symop_operation_xyz
'x,y,z'
'y,-x,-z'
'-x,-y,z'
'-y,x,-z'
'-x,y,z'
'-y,-x,-z'
'x,-y,z'
'y,x,-z'
loop_
_atom_site_label
_atom_site_type_symbol
_atom_site_fract_x
_atom_site_fract_y
_atom_site_fract_z
_atom_site_occupancy
Dy1 Dy 0.000 0.500 0.213 1
Pa1 Pa 0.000 0.000 0.500 1
Ge1 Ge 0.000 0.500 0.875 1
Ge2 Ge 0.500 0.500 0.500 1
Pt1 Pt 0.000 0.000 0.000 1
Pt2 Pt 0.000 0.500 0.657 1
Pt3 Pt 0.500 0.500 0.000 1

***

5.
# RbLi2RePt (PBE, optimized geometry)
# Total magnetic moment: 0.431 μB/atom
# DFT total energy: -4.0882 eV per atom
data_RbLi2RePt
_chemical_formula_sum 'Rb1 Li2 Re1 Pt1'
_space_group_name_H-M_alt 'P 4/m m m'
_space_group_IT_number 123
_space_group_name_Hall '-P 4 2'
_cell_length_a 5.091
_cell_length_b 5.091
_cell_length_c 4.883
_cell_angle_alpha 90.00
_cell_angle_beta 90.00
_cell_angle_gamma 90.00
loop_
_atom_site_label
_atom_site_type_symbol
_atom_site_fract_x
_atom_site_fract_y
_atom_site_fract_z
_atom_site_occupancy
Rb1 Rb 0.000 0.000 0.000 1
Li1 Li 0.000 0.500 0.500 1
Re1 Re 0.500 0.500 0.000 1
Pt1 Pt 0.500 0.500 0.500 1

***

6.
# PrAl2Pd7 (PBE, optimized geometry)
# Total magnetic moment: 0.000 μB/atom
# DFT total energy: -5.2091 eV per atom
data_PrAl2Pd7
_chemical_formula_sum 'Pr2 Al4 Pd14'
_space_group_name_H-M_alt 'C m m m'
_space_group_IT_number 65
_space_group_name_Hall '-C 2 2'
_cell_length_a 7.318
_cell_length_b 12.067
_cell_length_c 4.626
_cell_angle_alpha 90.00
_cell_angle_beta 90.00
_cell_angle_gamma 90.00
loop_
_atom_site_label
_atom_site_type_symbol
_atom_site_fract_x
_atom_site_fract_y
_atom_site_fract_z
_atom_site_occupancy
Pr1 Pr 0.000 0.000 0.000 1
Al1 Al 0.000 0.300 0.500 1
Pd1 Pd 0.000 0.237 0.000 1
Pd2 Pd 0.000 0.500 0.500 1
Pd3 Pd 0.190 0.125 0.500 1

***

7.
# Cs8Br6Cl (PBE, optimized geometry)
# Total magnetic moment: 0.051 μB/atom
# DFT total energy: -2.8606 eV per atom
data_Cs8Br6Cl
_chemical_formula_sum 'Cs8 Br6 Cl1'
_space_group_name_H-M_alt 'P -3 1 m'
_space_group_IT_number 162
_space_group_name_Hall '-P 3 2'
_cell_length_a 10.7517
_cell_length_b 10.7517
_cell_length_c 7.6570
_cell_angle_alpha 90.00
_cell_angle_beta 90.00
_cell_angle_gamma 120.00
loop_
_atom_site_label
_atom_site_type_symbol
_atom_site_fract_x
_atom_site_fract_y
_atom_site_fract_z
_atom_site_occupancy
Cs1 Cs 0.0000 0.2654 0.2619 1
Cs2 Cs 0.3333 0.6667 0.0000 1
Br1 Br 0.0000 0.3838 0.7735 1
Cl1 Cl 0.0000 0.0000 0.0000 1

***

8.
# Pa2SnMo (PBE, optimized geometry)
# Excess energy over the best structure of this formula in the dataset: 0.082 eV per atom
# Total magnetic moment: 0.000 μB/atom
data_Pa2SnMo
_chemical_formula_sum 'Pa2 Sn1 Mo1'
_space_group_name_H-M_alt 'P 4/m m m'
_space_group_IT_number 123
_space_group_name_Hall '-P 4 2'
_cell_length_a 3.833
_cell_length_b 3.833
_cell_length_c 6.321
_cell_angle_alpha 90.00
_cell_angle_beta 90.00
_cell_angle_gamma 90.00
loop_
_atom_site_label
_atom_site_type_symbol
_atom_site_fract_x
_atom_site_fract_y
_atom_site_fract_z
_atom_site_occupancy
Pa1 Pa 0.000 0.000 0.237 1
Sn1 Sn 0.500 0.500 0.500 1
Mo1 Mo 0.500 0.500 0.000 1

***

9.
# La2Dy8Al (PBE, optimized geometry)
# Total magnetic moment: 0.000 μB/atom
# DFT total energy: -4.5991 eV per atom
data_La2Dy8Al
_chemical_formula_sum 'La4 Dy16 Al2'
_space_group_name_H-M_alt 'C 1 2/m 1'
_space_group_IT_number 12
_cell_length_a 18.863
_cell_length_b 5.408
_cell_length_c 6.794
_cell_angle_alpha 90.00
_cell_angle_beta 93.55
_cell_angle_gamma 90.00
loop_
_space_group_symop_operation_xyz
'x,y,z'
'-x,-y,-z'
'-x,y,-z'
'x,-y,z'
'x+1/2,y+1/2,z'
'-x+1/2,-y+1/2,-z'
'-x+1/2,y+1/2,-z'
'x+1/2,-y+1/2,z'
loop_
_atom_site_label
_atom_site_type_symbol
_atom_site_fract_x
_atom_site_fract_y
_atom_site_fract_z
_atom_site_occupancy
La1 La 0.223 0.000 0.165 1
Dy1 Dy 0.034 0.000 0.258 1
Dy2 Dy 0.086 0.500 0.909 1
Dy3 Dy 0.154 0.500 0.403 1
Dy4 Dy 0.157 0.000 0.670 1
Al1 Al 0.000 0.500 0.500 1

***

10.
# LaSm4Tm6 (PBE, optimized geometry)
# Total magnetic moment: 0.000 μB/atom
# DFT total energy: -4.1450 eV per atom
data_LaSm4Tm6
_chemical_formula_sum 'La2 Sm8 Tm12'
_space_group_name_H-M_alt 'I -4 2 m'
_space_group_IT_number 121
_space_group_name_Hall 'I -4 2'
_cell_length_a 7.832
_cell_length_b 7.832
_cell_length_c 12.705
_cell_angle_alpha 90.00
_cell_angle_beta 90.00
_cell_angle_gamma 90.00
loop_
_atom_site_label
_atom_site_type_symbol
_atom_site_fract_x
_atom_site_fract_y
_atom_site_fract_z
_atom_site_occupancy
La1 La 0.000 0.000 0.000 1
Sm1 Sm 0.170 0.170 0.427 1
Tm1 Tm 0.000 0.500 0.000 1
Tm2 Tm 0.236 0.236 0.686 1

***

11.
# Rb2SiOsF (PBE, optimized geometry)
# Total magnetic moment: 0.320 μB/atom
# DFT total energy: -3.4929 eV per atom
data_Rb2SiOsF
_chemical_formula_sum 'Rb2 Si1 Os1 F1'
_space_group_name_H-M_alt 'P 4/m m m'
_space_group_IT_number 123
_space_group_name_Hall '-P 4 2'
_cell_length_a 4.902
_cell_length_b 4.902
_cell_length_c 5.649
_cell_angle_alpha 90.00
_cell_angle_beta 90.00
_cell_angle_gamma 90.00
loop_
_atom_site_label
_atom_site_type_symbol
_atom_site_fract_x
_atom_site_fract_y
_atom_site_fract_z
_atom_site_occupancy
Rb1 Rb 0.000 0.500 0.000 1
Si1 Si 0.000 0.000 0.500 1
Os1 Os 0.500 0.500 0.500 1
F1 F 0.000 0.000 0.000 1

***

12.
# SrNb2W2 (PBE, optimized geometry)
# Excess energy over the best structure of this formula in the dataset: 0.072 eV per atom
# Total magnetic moment: 0.000 μB/atom
data_SrNb2W2
_chemical_formula_sum 'Sr2 Nb4 W4'
_space_group_name_H-M_alt 'I 4/m m m'
_space_group_IT_number 139
_space_group_name_Hall '-I 4 2'
_cell_length_a 4.449
_cell_length_b 4.449
_cell_length_c 11.294
_cell_angle_alpha 90.00
_cell_angle_beta 90.00
_cell_angle_gamma 90.00
loop_
_atom_site_label
_atom_site_type_symbol
_atom_site_fract_x
_atom_site_fract_y
_atom_site_fract_z
_atom_site_occupancy
Sr1 Sr 0.000 0.000 0.000 1
Nb1 Nb 0.000 0.500 0.250 1
W1 W 0.000 0.000 0.383 1